An optimized crystal structure of ZrCuAgSb, computed with PBE.

Summary:
- Total moment: 0.0 μB per formula unit
- Crystal system: cubic
- Total energy: -19.2 eV/cell

a = 4.7784 Å, b = 4.7784 Å, c = 4.7784 Å
α = 60.00°, β = 60.00°, γ = 60.00°
Sites, in units of the cell vectors:
Ag  0.5000  0.5000  0.5000
Zr  0.2500  0.2500  0.2500
Cu  0.7500  0.7500  0.7500
Sb  0.0000  0.0000  0.0000

***

An optimized crystal structure of ScCuAg, computed with PBE.

Summary:
- Total moment: 0.0 μB per formula unit
- Crystal system: tetragonal
- Total energy: -27.3 eV/cell
- Calculated formation energy: -0.26 eV/atom

a = 3.4288 Å, b = 3.4288 Å, c = 8.6965 Å
α = 90.00°, β = 90.00°, γ = 90.00°
Sites, in units of the cell vectors:
Sc  0.0000  0.0000  0.0000
Sc  0.5000  0.5000  0.5000
Ag  0.0000  0.0000  0.6775
Ag  0.0000  0.0000  0.3225
Cu  0.5000  0.5000  0.1597
Cu  0.5000  0.5000  0.8403

***

An optimized crystal structure of ScCuAg, computed with PBE.

Summary:
- Total moment: 0.0 μB per formula unit
- Crystal system: tetragonal
- Total energy: -13.6 eV/cell
- Calculated formation energy: -0.26 eV/atom

a = 4.9945 Å, b = 4.9945 Å, c = 4.9945 Å
α = 139.99°, β = 139.99°, γ = 57.87°
Sites, in units of the cell vectors:
Sc  0.0059  0.0059  0.0000
Cu  0.6656  0.6656  0.0000
Ag  0.3285  0.3285  0.0000

***

An optimized crystal structure of ScCuAg, computed with PBE.

Summary:
- Total moment: 0.0 μB per formula unit
- Crystal system: tetragonal
- Total energy: -27.3 eV/cell
- Calculated formation energy: -0.26 eV/atom

a = 3.4250 Å, b = 3.4250 Å, c = 8.6938 Å
α = 90.00°, β = 90.00°, γ = 90.00°
Sites, in units of the cell vectors:
Cu  0.5000  0.0000  0.9251
Cu  0.0000  0.5000  0.0749
Sc  0.0000  0.5000  0.7682
Sc  0.5000  0.0000  0.2318
Ag  0.5000  0.0000  0.5894
Ag  0.0000  0.5000  0.4106

***

An optimized crystal structure of ScCuAgSe3, computed with PBE.

Summary:
- Total moment: 0.0 μB per formula unit
- Crystal system: orthorhombic
- Total energy: -55.0 eV/cell

a = 6.8651 Å, b = 6.8651 Å, c = 10.0472 Å
α = 90.00°, β = 90.00°, γ = 147.85°
Sites, in units of the cell vectors:
Cu  0.5241  0.4759  0.2500
Cu  0.4759  0.5241  0.7500
Se  0.9066  0.0934  0.2500
Se  0.3599  0.6401  0.9405
Se  0.6401  0.3599  0.0595
Se  0.0934  0.9066  0.7500
Se  0.3599  0.6401  0.5595
Se  0.6401  0.3599  0.4405
Ag  0.7984  0.2016  0.7500
Ag  0.2016  0.7984  0.2500
Sc  0.0000  0.0000  0.5000
Sc  0.0000  0.0000  0.0000

***

An optimized crystal structure of ScCuSiAg, computed with PBE.

Summary:
- Total moment: 0.0 μB per formula unit
- Crystal system: cubic
- Total energy: -19.0 eV/cell

a = 4.4787 Å, b = 4.4787 Å, c = 4.4787 Å
α = 60.00°, β = 60.00°, γ = 60.00°
Sites, in units of the cell vectors:
Cu  0.7500  0.7500  0.7500
Si  0.0000  0.0000  0.0000
Ag  0.2500  0.2500  0.2500
Sc  0.5000  0.5000  0.5000

***

An optimized crystal structure of ScCuSiAg, computed with PBE.

Summary:
- Total moment: 0.0 μB per formula unit
- Crystal system: cubic
- Total energy: -19.1 eV/cell

a = 4.5103 Å, b = 4.5103 Å, c = 4.5103 Å
α = 60.00°, β = 60.00°, γ = 60.00°
Sites, in units of the cell vectors:
Sc  0.7500  0.7500  0.7500
Cu  0.2500  0.2500  0.2500
Ag  0.5000  0.5000  0.5000
Si  0.0000  0.0000  0.0000

***

An optimized crystal structure of ScCuAgSn, computed with PBE.

Summary:
- Total moment: 0.0 μB per formula unit
- Crystal system: cubic
- Total energy: -17.8 eV/cell

a = 4.7233 Å, b = 4.7233 Å, c = 4.7233 Å
α = 60.00°, β = 60.00°, γ = 60.00°
Sites, in units of the cell vectors:
Ag  0.5000  0.5000  0.5000
Sc  0.2500  0.2500  0.2500
Sn  0.0000  0.0000  0.0000
Cu  0.7500  0.7500  0.7500

***

An optimized crystal structure of Sc2CuAgSn2, computed with PBE.

Summary:
- Total moment: 0.0 μB per formula unit
- Crystal system: monoclinic
- Total energy: -120.3 eV/cell

a = 7.8283 Å, b = 4.4998 Å, c = 14.9558 Å
α = 90.00°, β = 99.71°, γ = 90.00°
Sites, in units of the cell vectors:
Sc  0.4264  0.0000  0.8069
Sc  0.1876  0.5000  0.5631
Sc  0.6852  0.0000  0.5595
Sc  0.1801  0.0000  0.0590
Sc  0.9403  0.0000  0.3196
Sc  0.4399  0.5000  0.3191
Sc  0.6959  0.5000  0.0613
Sc  0.9458  0.5000  0.8133
Cu  0.4995  0.5000  0.5017
Cu  0.0009  0.5000  0.9981
Cu  0.0012  0.0000  0.5025
Cu  0.2474  0.5000  0.7476
Sn  0.0620  0.5000  0.1824
Sn  0.3137  0.0000  0.4438
Sn  0.0678  0.0000  0.6849
Sn  0.3035  0.5000  0.9323
Sn  0.8213  0.0000  0.9385
Sn  0.5524  0.5000  0.6841
Sn  0.5623  0.0000  0.1873
Sn  0.8156  0.5000  0.4446
Ag  0.4993  0.0000  0.9973
Ag  0.7499  0.0000  0.7489
Ag  0.2494  0.0000  0.2515
Ag  0.7526  0.5000  0.2526

***

An optimized crystal structure of ScCuAgSn, computed with PBE.

Summary:
- Total moment: 0.0 μB per formula unit
- Crystal system: cubic
- Total energy: -18.0 eV/cell

a = 4.6995 Å, b = 4.6995 Å, c = 4.6995 Å
α = 60.00°, β = 60.00°, γ = 60.00°
Sites, in units of the cell vectors:
Sc  0.5000  0.5000  0.5000
Ag  0.2500  0.2500  0.2500
Cu  0.7500  0.7500  0.7500
Sn  0.0000  0.0000  0.0000

***

An optimized crystal structure of Sc2CuAgSn2, computed with PBE.

Summary:
- Total moment: 0.0 μB per formula unit
- Crystal system: trigonal
- Total energy: -30.2 eV/cell

a = 4.5264 Å, b = 4.5264 Å, c = 6.9561 Å
α = 90.00°, β = 90.00°, γ = 120.00°
Sites, in units of the cell vectors:
Sc  0.3333  0.6667  0.2290
Sc  0.3333  0.6667  0.7384
Cu  0.6667  0.3333  0.0576
Sn  0.0000  0.0000  0.9697
Sn  0.6667  0.3333  0.4494
Ag  0.0000  0.0000  0.5560

***

An optimized crystal structure of Tm2ScZn3CuAg2, computed with PBE.

Summary:
- Total moment: 0.0 μB per formula unit
- Crystal system: orthorhombic
- Total energy: -31.2 eV/cell
- Calculated formation energy: -0.31 eV/atom

a = 3.9066 Å, b = 7.1204 Å, c = 7.1204 Å
α = 119.59°, β = 90.00°, γ = 90.00°
Sites, in units of the cell vectors:
Tm  0.0000  0.5973  0.0000
Tm  0.0000  0.0000  0.5973
Zn  0.5000  0.0032  0.2375
Zn  0.5000  0.2375  0.0032
Zn  0.5000  0.7637  0.7637
Ag  0.5000  0.3354  0.6595
Ag  0.5000  0.6595  0.3354
Cu  0.0000  0.0051  0.0051
Sc  0.0000  0.3985  0.3985

***

An optimized crystal structure of CuAgSe, computed with PBE.

Summary:
- Crystal system: tetragonal
- Total energy: -20.4 eV/cell

a = 4.1498 Å, b = 4.1498 Å, c = 6.2240 Å
α = 90.00°, β = 90.00°, γ = 90.00°
Sites, in units of the cell vectors:
Cu  0.5000  0.5000  0.0000
Cu  0.0000  0.0000  0.0000
Ag  0.0000  0.5000  0.3062
Ag  0.5000  0.0000  0.6938
Se  0.0000  0.5000  0.7478
Se  0.5000  0.0000  0.2522

***

An optimized crystal structure of CuAgSe2, computed with PBE.

Summary:
- Crystal system: monoclinic
- Total energy: -53.6 eV/cell

a = 6.7417 Å, b = 6.5194 Å, c = 7.4792 Å
α = 90.00°, β = 94.53°, γ = 90.00°
Sites, in units of the cell vectors:
Cu  0.6201  0.8055  0.0563
Cu  0.6201  0.6945  0.5563
Cu  0.3799  0.1945  0.9437
Cu  0.3799  0.3055  0.4437
Se  0.5667  0.1333  0.2241
Se  0.5667  0.3667  0.7241
Se  0.0344  0.2266  0.9771
Se  0.4333  0.6333  0.2759
Se  0.9656  0.7266  0.5229
Se  0.0344  0.2734  0.4771
Se  0.4333  0.8667  0.7759
Se  0.9656  0.7734  0.0229
Ag  0.1833  0.9549  0.3016
Ag  0.8167  0.4549  0.1984
Ag  0.8167  0.0451  0.6984
Ag  0.1833  0.5451  0.8016

***

An optimized crystal structure of CuAg2SnSe4, computed with PBE.

Summary:
- Crystal system: tetragonal
- Total energy: -29.1 eV/cell

a = 7.4372 Å, b = 7.4372 Å, c = 7.4372 Å
α = 133.94°, β = 133.94°, γ = 67.19°
Sites, in units of the cell vectors:
Se  0.6179  0.6179  0.4713
Se  0.8534  0.3821  0.0000
Se  0.3821  0.8534  0.0000
Se  0.1466  0.1466  0.5287
Ag  0.7500  0.2500  0.5000
Ag  0.2500  0.7500  0.5000
Sn  0.0000  0.0000  0.0000
Cu  0.5000  0.5000  0.0000

***

An optimized crystal structure of ZnCuAgSnSe4, computed with PBE.

Summary:
- Crystal system: tetragonal
- Total energy: -28.8 eV/cell

a = 7.2275 Å, b = 7.2275 Å, c = 7.2275 Å
α = 132.12°, β = 132.12°, γ = 70.04°
Sites, in units of the cell vectors:
Ag  0.0000  0.0000  0.0000
Se  0.8789  0.8533  0.4774
Se  0.1467  0.6240  0.0256
Se  0.5984  0.1211  0.9744
Se  0.3760  0.4016  0.5226
Sn  0.7500  0.2500  0.5000
Zn  0.5000  0.5000  0.0000
Cu  0.2500  0.7500  0.5000

***

An optimized crystal structure of ZrCuAgSe3, computed with PBE.

Summary:
- Total moment: 0.0 μB per formula unit
- Crystal system: orthorhombic
- Total energy: -59.2 eV/cell

a = 6.8151 Å, b = 6.8151 Å, c = 10.1740 Å
α = 90.00°, β = 90.00°, γ = 147.44°
Sites, in units of the cell vectors:
Se  0.1412  0.8588  0.4447
Se  0.5901  0.4099  0.7500
Se  0.1412  0.8588  0.0553
Se  0.8588  0.1412  0.9447
Se  0.4099  0.5901  0.2500
Se  0.8588  0.1412  0.5553
Cu  0.9693  0.0307  0.7500
Cu  0.0307  0.9693  0.2500
Ag  0.2878  0.7122  0.7500
Ag  0.7122  0.2878  0.2500
Zr  0.5000  0.5000  0.5000
Zr  0.5000  0.5000  0.0000

***

An optimized crystal structure of ZrCuAgSe3, computed with PBE.

Summary:
- Total moment: 0.0 μB per formula unit
- Crystal system: monoclinic
- Total energy: -59.5 eV/cell

a = 7.5622 Å, b = 3.8378 Å, c = 9.3220 Å
α = 90.00°, β = 104.38°, γ = 90.00°
Sites, in units of the cell vectors:
Ag  0.1971  0.2500  0.1896
Ag  0.8029  0.7500  0.8104
Cu  0.5842  0.7500  0.0909
Cu  0.4158  0.2500  0.9091
Se  0.2376  0.7500  0.9750
Se  0.9153  0.2500  0.6354
Se  0.0847  0.7500  0.3646
Se  0.4222  0.2500  0.6524
Se  0.7624  0.2500  0.0250
Se  0.5778  0.7500  0.3476
Zr  0.8099  0.2500  0.3186
Zr  0.1901  0.7500  0.6814

***

An optimized crystal structure of SmCuSi2Ag, computed with PBE.

Summary:
- Total moment: 0.0 μB per formula unit
- Crystal system: tetragonal
- Total energy: -24.5 eV/cell

a = 5.9449 Å, b = 5.9449 Å, c = 5.9449 Å
α = 139.35°, β = 139.35°, γ = 58.84°
Sites, in units of the cell vectors:
Cu  0.7500  0.2500  0.5000
Si  0.3871  0.3871  0.0000
Si  0.6129  0.6129  0.0000
Ag  0.2500  0.7500  0.5000
Sm  0.0000  0.0000  0.0000

***

An optimized crystal structure of SrCuSi2Ag, computed with PBE.

Summary:
- Crystal system: tetragonal
- Total energy: -20.6 eV/cell

a = 5.9383 Å, b = 5.9383 Å, c = 5.9383 Å
α = 137.36°, β = 137.36°, γ = 61.88°
Sites, in units of the cell vectors:
Si  0.1330  0.6330  0.5000
Si  0.3670  0.8670  0.5000
Ag  0.0000  0.0000  0.0000
Sr  0.7500  0.2500  0.5000
Cu  0.5000  0.5000  0.0000